The following is a PBE with a Hubbard U calculation of KRb2Ni3F12 after structural relaxation, from Alexandria via LeMat-Bulk.

a = 7.2311 Å, b = 7.2311 Å, c = 7.2311 Å
α = 61.04°, β = 61.04°, γ = 61.04°
Last column: magnetic moment on the atom in μB.
Atoms (fractional coordinates):
F 0.1122 0.7206 0.7206  0.03
Ni 0.0000 0.5000 0.0000  1.07
F 0.2794 0.2794 0.8878  0.03
F 0.4485 0.8749 0.8749  -0.06
F 0.1251 0.5515 0.1251  -0.06
F 0.5515 0.1251 0.1251  -0.06
F 0.7206 0.7206 0.1122  0.03
F 0.8749 0.8749 0.4485  -0.06
Rb 0.6113 0.6113 0.6113  0.00
F 0.2794 0.8878 0.2794  0.03
K 0.0000 0.0000 0.0000  0.00
Rb 0.3887 0.3887 0.3887  0.00
F 0.8878 0.2794 0.2794  0.03
F 0.7206 0.1122 0.7206  0.03
Ni 0.5000 0.0000 0.0000  1.07
F 0.8749 0.4485 0.8749  -0.06
Ni 0.0000 0.0000 0.5000  1.07
F 0.1251 0.1251 0.5515  -0.06

* SG: R-3m (166)
* crystal system: trigonal
* VASP energy: -3.983 eV/atom